1.
# La6TbIn2, relaxed, DFT PBE
data_La6TbIn2
_chemical_formula_sum 'La12 Tb2 In4'
_cell_length_a 15.7890
_cell_length_b 4.7904
_cell_length_c 8.2861
_cell_angle_alpha 90.00
_cell_angle_beta 110.02
_cell_angle_gamma 90.00
_space_group_name_H-M_alt 'C 1 2/m 1'
_space_group_IT_number 12
_space_group_name_Hall '-C 2y'
loop_
_atom_site_label
_atom_site_type_symbol
_atom_site_fract_x
_atom_site_fract_y
_atom_site_fract_z
La1 La 0.0974 0.0000 0.1470
La2 La 0.1660 0.5000 0.4900
La3 La 0.2221 0.0000 0.8420
Tb1 Tb 0.0000 0.0000 0.5000
In1 In 0.0581 0.5000 0.8129
# Relative energy among the computed polymorphs ... 0 meV per atom



2.
Material: Li2Al3Pd8
Method: DFT, PBE
State: relaxed

Cell and atoms, written as CIF:
```
data_Li2Al3Pd8
_chemical_formula_sum 'Li6 Al9 Pd24'
_cell_length_a 5.2887
_cell_length_b 5.2887
_cell_length_c 25.7311
_cell_angle_alpha 90.00
_cell_angle_beta 90.00
_cell_angle_gamma 120.00
_space_group_name_H-M_alt 'R -3 m'
_space_group_IT_number 166
_space_group_name_Hall '-R 3 2"'
loop_
_atom_site_label
_atom_site_type_symbol
_atom_site_fract_x
_atom_site_fract_y
_atom_site_fract_z
Li1 Li 0.0000 0.0000 0.1300
Al1 Al 0.0000 0.0000 0.3097
Al2 Al 0.0000 0.0000 0.5000
Pd1 Pd 0.0000 0.0000 0.2183
Pd2 Pd 0.9997 0.4999 0.2792
```



3.
# Pd2PtRh2, relaxed, DFT PBE
data_Pd2PtRh2
_chemical_formula_sum 'Pd8 Pt4 Rh8'
_cell_length_a 3.9036
_cell_length_b 19.5800
_cell_length_c 3.9076
_cell_angle_alpha 90.00
_cell_angle_beta 90.00
_cell_angle_gamma 90.00
_space_group_name_H-M_alt 'C m c m'
_space_group_IT_number 63
_space_group_name_Hall '-C 2c 2'
loop_
_atom_site_label
_atom_site_type_symbol
_atom_site_fract_x
_atom_site_fract_y
_atom_site_fract_z
Pd1 Pd 0.0000 0.0518 0.2500
Pd2 Pd 0.0000 0.4480 0.2500
Pt1 Pt 0.0000 0.1533 0.7500
Rh1 Rh 0.0000 0.2501 0.2500
Rh2 Rh 0.0000 0.3458 0.7500
# Relative energy among the computed polymorphs ... 0 meV per atom



4.
# HfCrOs3, relaxed, DFT PBE
data_HfCrOs3
_chemical_formula_sum 'Hf1 Cr1 Os3'
_cell_length_a 4.7208
_cell_length_b 4.7208
_cell_length_c 4.7208
_cell_angle_alpha 90.00
_cell_angle_beta 90.00
_cell_angle_gamma 90.00
_space_group_name_H-M_alt 'P m -3 m'
_space_group_IT_number 221
_space_group_name_Hall '-P 4 2 3'
loop_
_atom_site_label
_atom_site_type_symbol
_atom_site_fract_x
_atom_site_fract_y
_atom_site_fract_z
Hf1 Hf 0.0000 0.0000 0.0000
Cr1 Cr 0.5000 0.5000 0.5000
Os1 Os 0.0000 0.0000 0.5000
# Relative energy among the computed polymorphs ... 1690 meV per atom



| no. | energy of formation from the pure elements (kJ/mol of atoms) |
| --- | --- |
| 1 | -21 |
| 2 | -31 |
| 3 | -1 |
| 4 | 259 |